Below is a relaxed Dy2YPa2Ru5 crystal, with properties calculated at the PBE level.

Results
The formation energy comes out at -0.310 eV/atom. Its volume is 416.4 Å³ per cell. Its density of states at the Fermi level is 0.656 states/eV/atom.

Geometry as extended XYZ:
```
20
Lattice="3.7105 0.0000 0.0000 0.0000 10.5929 0.0000 0.0000 0.0000 10.5929" Properties=species:S:1:pos:R:3 pbc="T T T"
Dy 0.0000 7.1308 1.8343
Dy 0.0000 3.4621 8.7586
Dy 0.0000 1.8343 3.4621
Dy 0.0000 8.7586 7.1308
Y 0.0000 0.0000 0.0000
Y 0.0000 5.2965 5.2965
Pa 0.0000 1.4111 6.7076
Pa 0.0000 9.1818 3.8854
Pa 0.0000 6.7076 9.1818
Pa 0.0000 3.8854 1.4111
Ru 1.8553 2.2245 0.5989
Ru 1.8553 8.3684 9.9941
Ru 1.8553 0.5989 8.3684
Ru 1.8553 7.5210 4.6976
Ru 1.8553 9.9941 2.2245
Ru 1.8553 3.0719 5.8953
Ru 1.8553 5.8953 7.5210
Ru 1.8553 4.6976 3.0719
Ru 1.8553 5.2965 0.0000
Ru 1.8553 0.0000 5.2965
```